(1)
Density functional theory data (PBE) for a relaxed InHgAu6 crystal.

As for the volume: 18.994 Å³/atom. For the calculated density, the calculation gives 16.362 Mg/m³. The formation enthalpy at 0 K is -0.029 eV per atom.

It has space group Amm2 (No. 38), with a = 4.868 Å, b = 5.854 Å, c = 10.665 Å, α = 90.00°, β = 90.00° and γ = 90.00°. The asymmetric unit holds In at (0.000, 0.000, 0.000), Hg at (0.500, 0.000, 0.662), Au at (0.000, 0.000, 0.497), Au at (0.000, 0.248, 0.250), Au at (0.500, 0.000, 0.163) and Au at (0.500, 0.249, 0.412).



(2)
Density functional theory data (PBE) for a relaxed InHg2Au crystal.

As for the volume: 23.432 Å³/atom. For the calculated density, the calculation gives 12.631 Mg/m³. The formation enthalpy at 0 K is 0.034 eV per atom.

It has space group I-4m2 (No. 119), with a = 4.848 Å, b = 4.848 Å, c = 7.977 Å, α = 90.00°, β = 90.00° and γ = 90.00°. The asymmetric unit holds In at (0.000, 0.000, 0.000), Hg at (0.000, 0.000, 0.500), Hg at (0.000, 0.500, 0.250) and Au at (0.000, 0.500, 0.750).



(3)
Density functional theory data (PBE) for a relaxed InHgAu crystal.

As for the volume: 24.010 Å³/atom. For the calculated density, the calculation gives 11.812 Mg/m³. The formation enthalpy at 0 K is -0.066 eV per atom.

It has space group P1 (No. 1), with a = 3.623 Å, b = 4.963 Å, c = 8.824 Å, α = 101.73°, β = 91.18° and γ = 111.20°. The asymmetric unit holds In at (0.000, 0.000, 0.000), In at (0.225, 0.419, 0.401), Hg at (0.246, 0.505, 0.804), Hg at (0.491, 0.011, 0.630), Au at (0.487, 0.950, 0.279) and Au at (0.743, 0.477, 0.130).



(4)
Density functional theory data (PBE) for a relaxed In3Hg12Au5 crystal.

As for the volume: 30.421 Å³/atom. For the calculated density, the calculation gives 10.197 Mg/m³. The formation enthalpy at 0 K is 0.140 eV per atom.

It has space group Ia-3d (No. 230), with a = 16.947 Å, b = 16.947 Å, c = 16.947 Å, α = 90.00°, β = 90.00° and γ = 90.00°. The asymmetric unit holds In at (0.000, 0.250, 0.125), Hg at (0.027, 0.079, 0.647), Au at (0.000, 0.000, 0.000) and Au at (0.000, 0.250, 0.375).



(5)
Density functional theory data (PBE) for a relaxed InHgAu2 crystal.

As for the volume: 22.895 Å³/atom. For the calculated density, the calculation gives 12.862 Mg/m³. The formation enthalpy at 0 K is -0.033 eV per atom.

It has space group R3m (No. 160, hexagonal axes), with a = 3.7010 Å, b = 3.7010 Å, c = 23.1605 Å, α = 90.00°, β = 90.00° and γ = 120.00°. The asymmetric unit holds In at (0.0000, 0.0000, 0.0000), Hg at (0.0000, 0.0000, 0.1676), Au at (0.0000, 0.0000, 0.4144) and Au at (0.0000, 0.0000, 0.5866).



(6)
Density functional theory data (PBE) for a relaxed In2HgAu crystal.

As for the volume: 24.854 Å³/atom. For the calculated density, the calculation gives 10.476 Mg/m³. The formation enthalpy at 0 K is -0.076 eV per atom.

It has space group Cmcm (No. 63), with a = 3.910 Å, b = 21.948 Å, c = 4.634 Å, α = 90.00°, β = 90.00° and γ = 90.00°. The asymmetric unit holds In at (0.000, 0.063, 0.250), In at (0.000, 0.333, 0.250), Hg at (0.000, 0.199, 0.250) and Au at (0.000, 0.458, 0.250).